Entry 1:
VASP calculation (PBE) on crystalline Tl5Sb2S4 at its relaxed geometry.

Properties
Calculated volume   34.06 Å³ per atom
Energy relative to the elements, uncorrected   -0.16 eV/atom
Crystal system   triclinic

POSCAR file:
```
Tl5Sb2S4
1.0
-3.7183 -0.4242 1.0915
-0.7660 -10.2498 -6.5736
3.9596 -6.5831 4.0460
S Tl Sb
4 5 2
direct
0.3555 0.4005 0.7077
0.9700 0.8169 0.9385
0.0300 0.1831 0.0615
0.6445 0.5995 0.2923
0.1548 0.4115 0.3130
0.5000 0.0000 0.0000
0.8452 0.5885 0.6869
0.8464 0.2099 0.6893
0.1536 0.7901 0.3107
0.5078 0.3387 0.0192
0.4922 0.6613 0.9808
```

Entry 2:
VASP calculation (PBE) on crystalline AcSm2DyP4 at its relaxed geometry.

Properties
Calculated volume   25.74 Å³ per atom
ΔE_f   -34.76 kcal/mol of atoms
Crystal system   monoclinic

POSCAR file:
```
AcSm2DyP4
1.0
4.1745 0.0000 0.0000
0.0000 7.2288 -0.1497
0.0000 2.5368 6.7701
Dy Sm P Ac
1 2 4 1
direct
0.0000 0.5000 0.5000
0.5000 0.0000 0.5000
0.0000 0.0000 0.0000
0.0000 0.2403 0.2641
0.5000 0.2483 0.7405
0.0000 0.7597 0.7359
0.5000 0.7517 0.2595
0.5000 0.5000 0.0000
```

calculated volume of number 2 (AcSm2DyP4)? 25.74 Å³ per atom